A relaxed KFeSi2 crystal, computed with PBE.

a b c (Å): 6.021 6.021 6.021
angles (deg): 153.71 124.01 62.88
Positions (direct):
1 K 0.000 0.000 0.000
2 Fe 0.687 0.187 0.500
3 Si 0.299 0.799 0.500
4 Si 0.499 0.499 0.000

Output
Formation energy without anion corrections = 0.66 eV/atom



A relaxed AgSbTe2 crystal, computed with PBE.

a b c (Å): 3.085 3.085 12.251
angles (deg): 90.00 90.00 90.37
Positions (direct):
1 Ag 0.000 0.000 0.000
2 Sb 0.500 0.500 0.818
3 Te 0.000 0.000 0.528
4 Te 0.500 0.500 0.206

Output
Formation energy without anion corrections = 0.18 eV/atom



A relaxed HoF4 crystal, computed with PBE.

a b c (Å): 4.356 4.356 4.356
angles (deg): 90.00 90.00 90.00
Positions (direct):
1 Ho 0.000 0.000 0.000
2 F 0.000 0.000 0.500
3 F 0.000 0.500 0.000
4 F 0.500 0.000 0.000
5 F 0.500 0.500 0.500

Output
Formation energy without anion corrections = -3.10 eV/atom



A relaxed Sr2In2Ag5 crystal, computed with PBE.

a b c (Å): 4.955 4.955 9.296
angles (deg): 90.00 90.00 90.00
Positions (direct):
1 Sr 0.000 0.000 0.000
2 Sr 0.000 0.000 0.500
3 In 0.500 0.500 0.156
4 In 0.500 0.500 0.844
5 Ag 0.000 0.500 0.288
6 Ag 0.000 0.500 0.712
7 Ag 0.500 0.000 0.288
8 Ag 0.500 0.000 0.712
9 Ag 0.500 0.500 0.500

Output
Energy of formation = -0.17 eV per atom



Ρ across the listed records, respectively: 3.2 6.9 4.8 6.9 g/cm3.